Al5Cu4 | GGA-PBE | optimized geometry

Cell and atoms, written as CIF:
```
data_Al5Cu4
_chemical_formula_sum 'Al10 Cu8'
_symmetry_space_group_name_H-M 'P 63/m c m'
_symmetry_Int_Tables_number 193
_symmetry_space_group_name_Hall '-P 6c 2'
_cell_length_a 7.3688
_cell_length_b 7.3688
_cell_length_c 5.4038
_cell_angle_alpha 90.00
_cell_angle_beta 90.00
_cell_angle_gamma 120.00
loop_
_atom_site_label
_atom_site_type_symbol
_atom_site_fract_x
_atom_site_fract_y
_atom_site_fract_z
_atom_site_occupancy
Al1 Al 0.0000 0.3079 0.2500 1
Al2 Al 0.3333 0.6667 0.0000 1
Cu1 Cu 0.0000 0.0000 0.0000 1
Cu2 Cu 0.0000 0.3559 0.7500 1
```

* energy of formation: -62.1 meV per atom
* total DFT energy (no corrections): -71.3 eV per cell
* offset from the most stable computed form: 4 meV/atom